Material: LaInTe2N
Method: DFT, SCAN
State: PBEsol geometry

Unit cell a=4.022 b=6.410 c=6.410 alpha=90.00 beta=90.00 gamma=90.00
Fractional positions:
La  0.000  0.000  0.000
Te  0.000  0.500  0.000
N  0.500  0.000  0.000
Te  0.000  0.000  0.500
In  0.500  0.500  0.500

raw formation energy	-0.03	eV per atom
space group	No. 123